! K3WBr2F6 | Alexandria | GGA+U | relaxed; values from VASP
&SYSTEM
  ibrav = 0, nat = 12, ntyp = 4
/
ATOMIC_SPECIES
K 39.10 K.upf
W 183.84 W.upf
Br 79.90 Br.upf
F 19.00 F.upf
CELL_PARAMETERS angstrom
8.090 -3.885 0.000
8.090 3.885 0.000
-0.175 0.000 5.069
ATOMIC_POSITIONS angstrom
K 0.000 0.000 0.000
K 3.958 1.943 2.534
K 3.958 -1.943 2.534
W 8.003 0.000 2.534
Br 3.157 0.000 0.023
Br 12.848 0.000 5.046
F 7.617 1.431 1.295
F 8.388 1.431 3.774
F 6.084 0.000 2.967
F 9.922 0.000 2.102
F 7.617 -1.431 1.295
F 8.388 -1.431 3.774
! energy = -54.3 eV/f.u.
! volume = 26.55 A^3/atom